LiSb2Pt | PBE | optimized geometry

Results
Uncorrected formation energy (meV/atom): -228
ρ (g/cm³): 8.82
Offset from the most stable computed form (meV per atom): 311
Final energy (eV/cell): -17.11

Cell: 3.608 3.608 6.445 Å, 90.00 90.00 90.00°
Space group P4/mmm (No. 123)
Symmetry-distinct sites (fractional):
Li 0.000 0.000 0.000 [1 per cell]
Sb 0.500 0.500 0.273 [2 per cell]
Pt 0.000 0.000 0.500 [1 per cell]